a | LaTiAs2Se: optimized geometry, PBE.

Output
Space-group type: No. 123

The structure in extended XYZ format:
```
5
Lattice="4.856 0.000 0.000 0.000 4.856 0.000 0.000 0.000 5.094" Properties=species:S:1:pos:R:3 pbc="T T T"
As 0.000 2.428 0.000
As 2.428 0.000 0.000
La 2.428 2.428 2.547
Se 0.000 0.000 2.547
Ti 0.000 0.000 0.000
```


b | LaTiAs2Se: optimized geometry, PBE.

Output
Space-group type: No. 123

The structure in extended XYZ format:
```
5
Lattice="5.593 0.000 0.000 0.000 5.593 0.000 0.000 0.000 5.597" Properties=species:S:1:pos:R:3 pbc="T T T"
Ti 2.796 2.796 2.798
La 0.000 0.000 0.000
Se 0.000 0.000 2.798
As 0.000 2.796 0.000
As 2.796 0.000 0.000
```


What are the relative energies? In meV/atom: a 0; b 1447.


a | LaTlAs2Se: optimized geometry, PBE.

Output
Space-group type: No. 123

The structure in extended XYZ format:
```
5
Lattice="-0.232 3.333 4.705 4.318 -3.021 2.353 3.817 3.610 -2.369" Properties=species:S:1:pos:R:3 pbc="T T T"
La 0.000 0.000 0.000
Tl 3.951 1.961 2.344
Se 1.909 1.805 -1.185
As 2.159 -1.510 1.176
As -0.116 1.667 2.353
```


b | LaTlAs2Se: optimized geometry, PBE.

Output
Space-group type: No. 123

The structure in extended XYZ format:
```
5
Lattice="-5.231 -0.087 -0.145 -0.038 -3.757 3.644 -0.169 3.744 3.858" Properties=species:S:1:pos:R:3 pbc="T T T"
Tl 0.000 0.000 0.000
La -2.719 -0.050 3.679
As -0.019 -1.878 1.822
As -2.616 -0.043 -0.072
Se -0.084 1.872 1.929
```


What are the relative energies? In meV/atom: a 0; b 20.


a | LaAsWSe2: optimized geometry, PBE.

Output
Space-group type: No. 123

The structure in extended XYZ format:
```
5
Lattice="-4.581 1.993 0.140 -0.903 -2.368 4.187 1.773 3.893 2.584" Properties=species:S:1:pos:R:3 pbc="T T T"
W 0.000 0.000 0.000
Se -2.291 0.997 0.070
Se 0.886 1.947 1.292
La -1.856 1.759 3.456
As -0.451 -1.184 2.094
```


b | LaAsWSe2: optimized geometry, PBE.

Output
Space-group type: No. 123

The structure in extended XYZ format:
```
5
Lattice="5.631 0.000 0.000 0.000 5.631 0.000 0.000 0.000 5.684" Properties=species:S:1:pos:R:3 pbc="T T T"
As 0.000 0.000 2.842
W 2.816 2.816 2.842
La 0.000 0.000 0.000
Se 0.000 2.816 0.000
Se 2.816 0.000 0.000
```


What are the relative energies? In meV/atom: a 0; b 1595.


a | LaZnAsSe2: optimized geometry, PBE.

Output
Space-group type: No. 123

The structure in extended XYZ format:
```
5
Lattice="5.020 0.000 0.000 0.000 5.020 0.000 0.000 0.000 4.801" Properties=species:S:1:pos:R:3 pbc="T T T"
As 0.000 0.000 2.400
La 2.510 2.510 2.400
Zn 0.000 0.000 0.000
Se 2.510 0.000 0.000
Se 0.000 2.510 0.000
```


b | LaZnAsSe2: optimized geometry, PBE.

Output
Space-group type: No. 123

The structure in extended XYZ format:
```
5
Lattice="5.747 0.000 0.000 0.000 5.747 0.000 0.000 0.000 6.062" Properties=species:S:1:pos:R:3 pbc="T T T"
Se 2.873 0.000 0.000
Se 0.000 2.873 0.000
Zn 2.873 2.873 3.031
As 0.000 0.000 3.031
La 0.000 0.000 0.000
```


What are the relative energies? In meV/atom: a 0; b 697.